The following is a DFT calculation (PBE) of a relaxed ReAgAsSe2 crystal.

- calculated volume (Å³/cell) = 118.1
- polymorph energy (0 for the lowest one) (meV/atom) = 0
- formation energy from raw total energies (eV per atom) = 0.64

Unit cell a=4.9640 b=4.9640 c=4.7915 alpha=90.00 beta=90.00 gamma=90.00
Last column: nearest neighbours and their distance in Å.
Space group P4/mmm (No. 123)
Unique sites:
Re 0.0000 0.0000 0.0000 [1 per cell]  2 As 2.40, 4 Se 2.48
Ag 0.5000 0.5000 0.5000 [1 per cell]  8 Se 3.45, 4 As 3.51
As 0.0000 0.0000 0.5000 [1 per cell]  2 Re 2.40
Se 0.0000 0.5000 0.0000 [2 per cell]  2 Re 2.48

The following is a DFT calculation (PBE) of a relaxed ReSiAg2As crystal.

- calculated volume (Å³/cell) = 119.3
- formation energy from raw total energies (eV per atom) = 1.36

Unit cell a=5.1185 b=5.1185 c=4.5551 alpha=90.00 beta=90.00 gamma=90.00
Last column: nearest neighbours and their distance in Å.
Space group P4/mmm (No. 123)
Unique sites:
Re 0.0000 0.0000 0.0000 [1 per cell]  2 Si 2.28
Si 0.0000 0.0000 0.5000 [1 per cell]  2 Re 2.28
Ag 0.0000 0.5000 0.0000 [2 per cell]  2 Re 2.56
As 0.5000 0.5000 0.5000 [1 per cell]  8 Ag 3.43, 4 Si 3.62

The following is a DFT calculation (PBE) of a relaxed TlReAgAs2 crystal.

- calculated volume (Å³/cell) = 130.0
- formation energy from the elements (eV/atom) = 1.4807

Unit cell a=4.9663 b=4.9663 c=5.2719 alpha=90.00 beta=90.00 gamma=90.00
Last column: nearest neighbours and their distance in Å.
Space group P4/mmm (No. 123)
Unique sites:
Tl 0.0000 0.0000 0.0000 [1 per cell]  4 Re 3.51, 8 As 3.62
Re 0.5000 0.5000 0.0000 [1 per cell]  2 Ag 2.64
Ag 0.5000 0.5000 0.5000 [1 per cell]  4 As 2.48, 2 Re 2.64
As 0.0000 0.5000 0.5000 [2 per cell]  2 Ag 2.48

The following is a DFT calculation (PBE) of a relaxed Ag2AsRh crystal.

- calculated volume (Å³/cell) = 135.6
- formation energy from the elements (eV/atom) = 0.1947

Unit cell a=5.2889 b=8.5938 c=2.9842 alpha=90.00 beta=90.00 gamma=90.00
Last column: nearest neighbours and their distance in Å.
Space group Cmmm (No. 65)
Unique sites:
Ag 0.2500 0.2500 0.0000 [4 per cell]  2 Ag 2.64, 4 As 2.93, 4 Rh 2.93
As 0.0000 0.0000 0.5000 [2 per cell]  2 Rh 2.64, 8 Ag 2.93
Rh 0.0000 0.5000 0.5000 [2 per cell]  2 As 2.64, 8 Ag 2.93

The following is a DFT calculation (PBE) of a relaxed Ag2AsRh crystal.

- calculated volume (Å³/cell) = 133.4
- formation energy from the elements (eV/atom) = 0.1536

Unit cell a=4.1202 b=4.1202 c=7.8594 alpha=90.00 beta=90.00 gamma=90.00
Last column: nearest neighbours and their distance in Å.
Space group I-4m2 (No. 119)
Unique sites:
Ag 0.0000 0.0000 0.0000 [2 per cell]  4 As 2.85, 4 Ag 2.85, 4 Rh 2.91
Ag 0.0000 0.5000 0.2500 [2 per cell]  4 Ag 2.85, 4 Rh 2.85, 4 As 2.91
As 0.0000 0.5000 0.7500 [2 per cell]  4 Rh 2.85, 8 Ag 2.85-2.91
Rh 0.0000 0.0000 0.5000 [2 per cell]  4 As 2.85, 8 Ag 2.85-2.91

The following is a DFT calculation (PBE) of a relaxed Ag2AsRh crystal.

- calculated volume (Å³/cell) = 288.3
- formation energy from the elements (eV/atom) = 0.3030

Unit cell a=7.5014 b=7.5014 c=5.1235 alpha=90.00 beta=90.00 gamma=90.00
Last column: nearest neighbours and their distance in Å.
Space group I-42d (No. 122)
Unique sites:
Ag 0.2320 0.7500 0.1250 [8 per cell]  2 Ag 2.58, 2 As 2.64, 2 Rh 2.82
As 0.0000 0.0000 0.0000 [4 per cell]  2 Rh 2.56, 4 Ag 2.64
Rh 0.0000 0.0000 0.5000 [4 per cell]  2 As 2.56, 4 Ag 2.82